[1]
# RbIn2TcSb (PBE-GGA, optimized geometry)
data_RbIn2TcSb
_chemical_formula_sum 'Rb1 In2 Tc1 Sb1'
_cell_length_a 5.339
_cell_length_b 5.339
_cell_length_c 5.234
_cell_angle_alpha 90.00
_cell_angle_beta 90.00
_cell_angle_gamma 90.00
_space_group_name_H-M_alt 'P 1'
_space_group_IT_number 1
_space_group_name_Hall 'P 1'
loop_
_atom_site_label
_atom_site_fract_x
_atom_site_fract_y
_atom_site_fract_z
_atom_site_occupancy
Rb1 0.000 0.000 0.000 1
In1 0.000 0.500 0.500 1
In2 0.500 0.000 0.500 1
Tc1 0.500 0.500 0.500 1
Sb1 0.500 0.500 0.000 1
# Energy relative to the elements, uncorrected ... -0.002 eV per atom
# Uncorrected energy ... -4.189 eV/atom
# Space-group type ... P4/mmm, No. 123
# Mass density ... 5.95 g cm⁻³

[2]
# Rb2InSbTe4 (PBE-GGA, optimized geometry)
data_Rb2InSbTe4
_chemical_formula_sum 'Rb4 In2 Sb2 Te8'
_cell_length_a 15.147
_cell_length_b 13.433
_cell_length_c 8.626
_cell_angle_alpha 83.70
_cell_angle_beta 61.82
_cell_angle_gamma 34.48
_space_group_name_H-M_alt 'P 1'
_space_group_IT_number 1
_space_group_name_Hall 'P 1'
loop_
_atom_site_label
_atom_site_fract_x
_atom_site_fract_y
_atom_site_fract_z
_atom_site_occupancy
Rb1 0.060 0.060 0.690 1
Rb2 0.310 0.310 0.940 1
Rb3 0.690 0.690 0.060 1
Rb4 0.940 0.940 0.310 1
In1 0.375 0.375 0.375 1
In2 0.625 0.625 0.625 1
Sb1 0.125 0.125 0.125 1
Sb2 0.875 0.875 0.875 1
Te1 0.031 0.342 0.432 1
Te2 0.305 0.568 0.658 1
Te3 0.342 0.031 0.695 1
Te4 0.432 0.695 0.031 1
Te5 0.568 0.305 0.969 1
Te6 0.658 0.969 0.305 1
Te7 0.695 0.432 0.342 1
Te8 0.969 0.658 0.568 1
# Energy relative to the elements, uncorrected ... -0.525 eV per atom
# Uncorrected energy ... -3.196 eV/atom
# Space-group type ... Fddd, No. 70
# Mass density ... 4.20 g cm⁻³

[3]
# RbInSbTe3 (PBE-GGA, optimized geometry)
data_RbInSbTe3
_chemical_formula_sum 'Rb2 In2 Sb2 Te6'
_cell_length_a 9.400
_cell_length_b 5.053
_cell_length_c 10.926
_cell_angle_alpha 90.00
_cell_angle_beta 106.02
_cell_angle_gamma 90.00
_space_group_name_H-M_alt 'P 1'
_space_group_IT_number 1
_space_group_name_Hall 'P 1'
loop_
_atom_site_label
_atom_site_fract_x
_atom_site_fract_y
_atom_site_fract_z
_atom_site_occupancy
Rb1 0.206 0.250 0.236 1
Rb2 0.794 0.750 0.764 1
In1 0.107 0.250 0.609 1
In2 0.893 0.750 0.391 1
Sb1 0.332 0.750 0.879 1
Sb2 0.668 0.250 0.121 1
Te1 0.118 0.250 0.873 1
Te2 0.216 0.750 0.536 1
Te3 0.461 0.750 0.147 1
Te4 0.539 0.250 0.853 1
Te5 0.784 0.250 0.464 1
Te6 0.882 0.750 0.127 1
# Energy relative to the elements, uncorrected ... -0.392 eV per atom
# Uncorrected energy ... -3.268 eV/atom
# Space-group type ... P2_1/m, No. 11
# Mass density ... 4.69 g cm⁻³

[4]
# RbTiInSb2 (PBE-GGA, optimized geometry)
data_RbTiInSb2
_chemical_formula_sum 'Rb1 Ti1 In1 Sb2'
_cell_length_a 5.371
_cell_length_b 5.371
_cell_length_c 5.521
_cell_angle_alpha 90.00
_cell_angle_beta 90.00
_cell_angle_gamma 90.00
_space_group_name_H-M_alt 'P 1'
_space_group_IT_number 1
_space_group_name_Hall 'P 1'
loop_
_atom_site_label
_atom_site_fract_x
_atom_site_fract_y
_atom_site_fract_z
_atom_site_occupancy
Rb1 0.000 0.000 0.000 1
Ti1 0.500 0.500 0.500 1
In1 0.500 0.500 0.000 1
Sb1 0.000 0.500 0.500 1
Sb2 0.500 0.000 0.500 1
# Energy relative to the elements, uncorrected ... -0.190 eV per atom
# Uncorrected energy ... -4.159 eV/atom
# Space-group type ... P4/mmm, No. 123
# Mass density ... 5.13 g cm⁻³

[5]
# RbTlInSb (PBE-GGA, optimized geometry)
data_RbTlInSb
_chemical_formula_sum 'Rb1 Tl1 In1 Sb1'
_cell_length_a 7.775
_cell_length_b 7.775
_cell_length_c 7.775
_cell_angle_alpha 37.56
_cell_angle_beta 37.56
_cell_angle_gamma 37.56
_space_group_name_H-M_alt 'P 1'
_space_group_IT_number 1
_space_group_name_Hall 'P 1'
loop_
_atom_site_label
_atom_site_fract_x
_atom_site_fract_y
_atom_site_fract_z
_atom_site_occupancy
Rb1 0.000 0.000 0.000 1
Tl1 0.445 0.445 0.445 1
In1 0.824 0.824 0.824 1
Sb1 0.215 0.215 0.215 1
# Energy relative to the elements, uncorrected ... -0.131 eV per atom
# Uncorrected energy ... -2.680 eV/atom
# Space-group type ... R3m, No. 160
# Mass density ... 5.58 g cm⁻³

[6]
# RbTl2InSb2 (PBE-GGA, optimized geometry)
data_RbTl2InSb2
_chemical_formula_sum 'Rb2 Tl4 In2 Sb4'
_cell_length_a 5.008
_cell_length_b 9.626
_cell_length_c 8.604
_cell_angle_alpha 90.00
_cell_angle_beta 90.00
_cell_angle_gamma 90.00
_space_group_name_H-M_alt 'P 1'
_space_group_IT_number 1
_space_group_name_Hall 'P 1'
loop_
_atom_site_label
_atom_site_fract_x
_atom_site_fract_y
_atom_site_fract_z
_atom_site_occupancy
Rb1 0.000 0.082 0.000 1
Rb2 0.000 0.918 0.500 1
Tl1 0.000 0.333 0.345 1
Tl2 0.000 0.667 0.845 1
Tl3 0.500 0.431 0.032 1
Tl4 0.500 0.569 0.532 1
In1 0.500 0.172 0.648 1
In2 0.500 0.828 0.148 1
Sb1 0.000 0.344 0.715 1
Sb2 0.000 0.656 0.215 1
Sb3 0.500 0.127 0.296 1
Sb4 0.500 0.873 0.796 1
# Energy relative to the elements, uncorrected ... -0.138 eV per atom
# Uncorrected energy ... -2.919 eV/atom
# Space-group type ... Pmc2_1, No. 26
# Mass density ... 6.83 g cm⁻³

[7]
# RbTlInSb (PBE-GGA, optimized geometry)
data_RbTlInSb
_chemical_formula_sum 'Rb1 Tl1 In1 Sb1'
_cell_length_a 5.766
_cell_length_b 5.766
_cell_length_c 5.766
_cell_angle_alpha 60.00
_cell_angle_beta 60.00
_cell_angle_gamma 60.00
_space_group_name_H-M_alt 'P 1'
_space_group_IT_number 1
_space_group_name_Hall 'P 1'
loop_
_atom_site_label
_atom_site_fract_x
_atom_site_fract_y
_atom_site_fract_z
_atom_site_occupancy
Rb1 0.000 0.000 0.000 1
Tl1 0.250 0.250 0.250 1
In1 0.750 0.750 0.750 1
Sb1 0.500 0.500 0.500 1
# Energy relative to the elements, uncorrected ... -0.082 eV per atom
# Uncorrected energy ... -2.631 eV/atom
# Space-group type ... F-43m, No. 216
# Mass density ... 6.45 g cm⁻³

[8]
# RbZnInSb2 (PBE-GGA, optimized geometry)
data_RbZnInSb2
_chemical_formula_sum 'Rb2 Zn2 In2 Sb4'
_cell_length_a 7.639
_cell_length_b 7.639
_cell_length_c 10.786
_cell_angle_alpha 98.07
_cell_angle_beta 98.07
_cell_angle_gamma 35.23
_space_group_name_H-M_alt 'P 1'
_space_group_IT_number 1
_space_group_name_Hall 'P 1'
loop_
_atom_site_label
_atom_site_fract_x
_atom_site_fract_y
_atom_site_fract_z
_atom_site_occupancy
Rb1 0.161 0.161 0.177 1
Rb2 0.839 0.839 0.823 1
Zn1 0.171 0.171 0.587 1
Zn2 0.829 0.829 0.413 1
In1 0.456 0.456 0.308 1
In2 0.544 0.544 0.692 1
Sb1 0.124 0.124 0.825 1
Sb2 0.360 0.360 0.552 1
Sb3 0.640 0.640 0.448 1
Sb4 0.876 0.876 0.175 1
# Energy relative to the elements, uncorrected ... -0.241 eV per atom
# Uncorrected energy ... -2.885 eV/atom
# Space-group type ... C2/m, No. 12
# Mass density ... 4.71 g cm⁻³

[9]
# Rb2ZnInSb2 (PBE-GGA, optimized geometry)
data_Rb2ZnInSb2
_chemical_formula_sum 'Rb4 Zn2 In2 Sb4'
_cell_length_a 9.677
_cell_length_b 9.677
_cell_length_c 9.677
_cell_angle_alpha 136.43
_cell_angle_beta 63.41
_cell_angle_gamma 136.31
_space_group_name_H-M_alt 'P 1'
_space_group_IT_number 1
_space_group_name_Hall 'P 1'
loop_
_atom_site_label
_atom_site_fract_x
_atom_site_fract_y
_atom_site_fract_z
_atom_site_occupancy
Rb1 0.168 0.247 0.415 1
Rb2 0.332 0.747 0.080 1
Rb3 0.668 0.253 0.920 1
Rb4 0.832 0.753 0.585 1
Zn1 0.250 0.750 0.500 1
Zn2 0.750 0.250 0.500 1
In1 0.250 0.250 0.000 1
In2 0.750 0.750 0.000 1
Sb1 0.092 0.728 0.821 1
Sb2 0.408 0.228 0.636 1
Sb3 0.592 0.772 0.364 1
Sb4 0.908 0.272 0.179 1
# Energy relative to the elements, uncorrected ... -0.338 eV per atom
# Uncorrected energy ... -2.703 eV/atom
# Space-group type ... Ibam, No. 72
# Mass density ... 4.64 g cm⁻³

[10]
# Rb2ScIn (PBE-GGA, optimized geometry)
data_Rb2ScIn
_chemical_formula_sum 'Rb4 Sc2 In2'
_cell_length_a 9.949
_cell_length_b 9.949
_cell_length_c 9.949
_cell_angle_alpha 94.59
_cell_angle_beta 94.59
_cell_angle_gamma 147.15
_space_group_name_H-M_alt 'P 1'
_space_group_IT_number 1
_space_group_name_Hall 'P 1'
loop_
_atom_site_label
_atom_site_fract_x
_atom_site_fract_y
_atom_site_fract_z
_atom_site_occupancy
Rb1 0.375 0.224 0.349 1
Rb2 0.776 0.125 0.151 1
Rb3 0.875 0.026 0.651 1
Rb4 0.974 0.625 0.849 1
Sc1 0.250 0.750 0.500 1
Sc2 0.500 0.500 0.000 1
In1 0.000 0.000 0.000 1
In2 0.750 0.250 0.500 1
# Uncorrected energy ... -2.269 eV/atom
# Space-group type ... I-42d, No. 122
# Mass density ... 2.14 g cm⁻³
# Energy relative to the elements ... 186 kJ/mol of formula units

[11]
# Rb2ScIn2 (PBE-GGA, optimized geometry)
data_Rb2ScIn2
_chemical_formula_sum 'Rb4 Sc2 In4'
_cell_length_a 7.865
_cell_length_b 7.865
_cell_length_c 6.447
_cell_angle_alpha 90.00
_cell_angle_beta 90.00
_cell_angle_gamma 90.00
_space_group_name_H-M_alt 'P 1'
_space_group_IT_number 1
_space_group_name_Hall 'P 1'
loop_
_atom_site_label
_atom_site_fract_x
_atom_site_fract_y
_atom_site_fract_z
_atom_site_occupancy
Rb1 0.176 0.324 0.000 1
Rb2 0.324 0.824 0.000 1
Rb3 0.676 0.176 0.000 1
Rb4 0.824 0.676 0.000 1
Sc1 0.000 0.000 0.500 1
Sc2 0.500 0.500 0.500 1
In1 0.138 0.638 0.500 1
In2 0.362 0.138 0.500 1
In3 0.638 0.862 0.500 1
In4 0.862 0.362 0.500 1
# Uncorrected energy ... -2.541 eV/atom
# Space-group type ... P4/mbm, No. 127
# Mass density ... 3.71 g cm⁻³
# Energy relative to the elements ... 100 kJ/mol of formula units

[12]
# RbSc2In2 (PBE-GGA, optimized geometry)
data_RbSc2In2
_chemical_formula_sum 'Rb2 Sc4 In4'
_cell_length_a 9.266
_cell_length_b 9.266
_cell_length_c 3.217
_cell_angle_alpha 90.00
_cell_angle_beta 90.00
_cell_angle_gamma 90.00
_space_group_name_H-M_alt 'P 1'
_space_group_IT_number 1
_space_group_name_Hall 'P 1'
loop_
_atom_site_label
_atom_site_fract_x
_atom_site_fract_y
_atom_site_fract_z
_atom_site_occupancy
Rb1 0.000 0.000 0.000 1
Rb2 0.500 0.500 0.000 1
Sc1 0.122 0.378 0.000 1
Sc2 0.378 0.878 0.000 1
Sc3 0.622 0.122 0.000 1
Sc4 0.878 0.622 0.000 1
In1 0.172 0.672 0.500 1
In2 0.328 0.172 0.500 1
In3 0.672 0.828 0.500 1
In4 0.828 0.328 0.500 1
# Uncorrected energy ... -3.955 eV/atom
# Space-group type ... P4/mbm, No. 127
# Mass density ... 4.87 g cm⁻³
# Energy relative to the elements ... -65 kJ/mol of formula units

What is the uncorrected energy in the eleventh record? -2.541 eV/atom

Among the records above, which one has the highest mass density? RbTl2InSb2

Repeat the fifth record exactly.
# RbTlInSb (PBE-GGA, optimized geometry)
data_RbTlInSb
_chemical_formula_sum 'Rb1 Tl1 In1 Sb1'
_cell_length_a 7.775
_cell_length_b 7.775
_cell_length_c 7.775
_cell_angle_alpha 37.56
_cell_angle_beta 37.56
_cell_angle_gamma 37.56
_space_group_name_H-M_alt 'P 1'
_space_group_IT_number 1
_space_group_name_Hall 'P 1'
loop_
_atom_site_label
_atom_site_fract_x
_atom_site_fract_y
_atom_site_fract_z
_atom_site_occupancy
Rb1 0.000 0.000 0.000 1
Tl1 0.445 0.445 0.445 1
In1 0.824 0.824 0.824 1
Sb1 0.215 0.215 0.215 1
# Energy relative to the elements, uncorrected ... -0.131 eV per atom
# Uncorrected energy ... -2.680 eV/atom
# Space-group type ... R3m, No. 160
# Mass density ... 5.58 g cm⁻³